# ScTl2Sb (GGA-PBE, relaxed)
# Uncorrected formation energy: 84 meV per atom
# Total DFT energy (no corrections): -3.713 eV/atom
# Crystal system: tetragonal
# Energy above the lowest structure with this stoichiometry: 0.355 eV/atom
data_ScTl2Sb
_chemical_formula_sum 'Sc1 Tl2 Sb1'
_cell_length_a 3.3087
_cell_length_b 3.3087
_cell_length_c 9.6148
_cell_angle_alpha 90.00
_cell_angle_beta 90.00
_cell_angle_gamma 90.00
_space_group_name_H-M_alt 'P 4/m m m'
_space_group_IT_number 123
_space_group_name_Hall '-P 4 2'
loop_
_atom_site_label
_atom_site_type_symbol
_atom_site_fract_x
_atom_site_fract_y
_atom_site_fract_z
Sc1 Sc 0.0000 0.0000 0.0000
Tl1 Tl 0.5000 0.5000 0.2283
Sb1 Sb 0.0000 0.0000 0.5000